First-principles (GGA-PBE) data for Tl3PdPt after structural relaxation, as listed in Alexandria via LeMat-Bulk.

## Properties
The final energy is -3.75 eV/atom. Its total magnetization is 0.00 μB per atom. For the energy above the most stable polymorph in this dataset, the calculation gives 0 meV/atom. As for the formation energy: -0.08 eV per atom. The density of states at the Fermi level comes out at 0.3766 states/eV per atom.

Cell: 7.098 3.627 10.045 Å, 90.00 110.44 90.00°
Fractional positions:
Tl: 0.229 0.250 0.066
Tl: 0.247 0.750 0.751
Tl: 0.270 0.250 0.435
Tl: 0.730 0.750 0.565
Tl: 0.753 0.250 0.249
Tl: 0.771 0.750 0.934
Pd: 0.469 0.750 0.281
Pd: 0.531 0.250 0.719
Pt: 0.037 0.750 0.215
Pt: 0.963 0.250 0.785